Record 1
This record from Alexandria describes Sr2YNi after structural relaxation. The functional is GGA-PBE.

abc: 10.644 10.644 10.644
angles: 21.30 21.30 21.30
Sites, in units of the cell vectors:
Sr: 0.226 0.226 0.226
Sr: 0.774 0.774 0.774
Y: 0.000 0.000 0.000
Ni: 0.500 0.500 0.500

Results
ΔE to the lowest computed polymorph   0.2743 eV per atom
Symmetry   R-3m
Energy of formation from the pure elements   258 meV/atom


Record 2
This record from Alexandria describes MgAl2As after structural relaxation. The functional is GGA-PBE.

abc: 3.942 3.942 4.820
angles: 90.00 90.00 90.00
Sites, in units of the cell vectors:
Mg: 0.000 0.000 0.000
Al: 0.000 0.500 0.500
Al: 0.500 0.000 0.500
As: 0.500 0.500 0.000

Results
ΔE to the lowest computed polymorph   0.0490 eV per atom
Symmetry   P4/mmm
Energy of formation from the pure elements   -20 meV/atom


Record 3
This record from Alexandria describes Ac4Pt3Rh after structural relaxation. The functional is GGA-PBE.

abc: 4.143 4.597 11.571
angles: 90.00 90.00 90.00
Sites, in units of the cell vectors:
Ac: 0.000 0.000 0.000
Ac: 0.000 0.500 0.266
Ac: 0.500 0.000 0.491
Ac: 0.500 0.500 0.766
Pt: 0.000 0.000 0.723
Pt: 0.000 0.500 0.543
Pt: 0.500 0.500 0.043
Rh: 0.500 0.000 0.226

Results
Symmetry   Pmm2
Energy of formation from the pure elements   -1039 meV/atom


Record 4
This record from Alexandria describes IrOs3Se after structural relaxation. The functional is GGA-PBE.

abc: 4.729 4.729 4.729
angles: 90.00 90.00 90.00
Sites, in units of the cell vectors:
Ir: 0.000 0.000 0.000
Os: 0.000 0.000 0.500
Os: 0.000 0.500 0.000
Os: 0.500 0.000 0.000
Se: 0.500 0.500 0.500

Results
ΔE to the lowest computed polymorph   0.4320 eV per atom
Symmetry   Pm-3m
ΔE_f (raw)   2.472 eV/atom


Record 5
This record from Alexandria describes TiBeCo3 after structural relaxation. The functional is GGA-PBE.

abc: 5.490 5.490 5.490
angles: 90.00 90.00 90.00
Sites, in units of the cell vectors:
Ti: 0.000 0.000 0.500
Ti: 0.000 0.500 0.000
Ti: 0.500 0.000 0.000
Be: 0.000 0.500 0.500
Be: 0.500 0.000 0.500
Be: 0.500 0.500 0.000
Co: 0.000 0.000 0.000
Co: 0.271 0.271 0.271
Co: 0.271 0.271 0.729
Co: 0.271 0.729 0.271
Co: 0.271 0.729 0.729
Co: 0.729 0.271 0.271
Co: 0.729 0.271 0.729
Co: 0.729 0.729 0.271
Co: 0.729 0.729 0.729

Results
ΔE to the lowest computed polymorph   0.0000 eV per atom
Symmetry   Pm-3m
Energy of formation from the pure elements   -219 meV/atom


Record 6
This record from Alexandria describes Pr2MgTl3Te6 after structural relaxation. The functional is GGA-PBE.

abc: 7.844 7.844 8.394
angles: 99.03 99.03 120.15
Sites, in units of the cell vectors:
Pr: 0.165 0.835 0.000
Pr: 0.835 0.165 0.000
Mg: 0.500 0.500 0.000
Tl: 0.000 0.000 0.500
Tl: 0.327 0.673 0.500
Tl: 0.673 0.327 0.500
Te: 0.109 0.428 0.782
Te: 0.256 0.256 0.222
Te: 0.428 0.109 0.782
Te: 0.572 0.891 0.218
Te: 0.744 0.744 0.778
Te: 0.891 0.572 0.218

Results
Symmetry   C2/m
ΔE_f (raw)   -0.851 eV/atom


Record 7
This record from Alexandria describes YAuI2N after structural relaxation. The functional is GGA-PBE.

abc: 6.198 6.198 3.777
angles: 90.00 90.00 90.00
Sites, in units of the cell vectors:
Y: 0.000 0.000 0.000
Au: 0.500 0.500 0.500
I: 0.000 0.500 0.500
I: 0.500 0.000 0.500
N: 0.500 0.500 0.000

Results
ΔE to the lowest computed polymorph   0.2658 eV per atom
Symmetry   P4/mmm
ΔE_f (raw)   0.415 eV/atom


Record 8
This record from Alexandria describes Cs2CeF6 after structural relaxation. The functional is GGA-PBE.

abc: 7.827 7.827 4.177
angles: 105.40 105.40 52.47
Sites, in units of the cell vectors:
Cs: 0.165 0.165 0.164
Cs: 0.835 0.835 0.836
Ce: 0.500 0.500 0.500
F: 0.173 0.568 0.371
F: 0.320 0.680 0.000
F: 0.432 0.827 0.629
F: 0.568 0.173 0.371
F: 0.680 0.320 0.000
F: 0.827 0.432 0.629

Results
Symmetry   C2/m
ΔE_f (raw)   -3.382 eV/atom


Record 9
This record from Alexandria describes TlCo2Hg after structural relaxation. The functional is GGA-PBE.

abc: 4.509 4.509 3.182
angles: 90.00 90.00 90.14
Sites, in units of the cell vectors:
Tl: 0.000 0.000 0.000
Co: 0.000 0.500 0.500
Co: 0.500 0.000 0.500
Hg: 0.500 0.500 0.000

Results
ΔE to the lowest computed polymorph   0.1795 eV per atom
Symmetry   Cmmm
Energy of formation from the pure elements   572 meV/atom


Record 10
This record from Alexandria describes Tb3TiH after structural relaxation. The functional is GGA-PBE.

abc: 4.825 4.825 4.825
angles: 90.00 90.00 90.00
Sites, in units of the cell vectors:
Tb: 0.000 0.000 0.500
Tb: 0.000 0.500 0.000
Tb: 0.500 0.000 0.000
Ti: 0.500 0.500 0.500
H: 0.000 0.000 0.000

Results
Symmetry   Pm-3m
Calculated total energy   -5.02 eV/atom


Record 11
This record from Alexandria describes Tb2NdHgN after structural relaxation. The functional is GGA-PBE.

abc: 4.837 4.837 5.019
angles: 90.00 90.00 90.00
Sites, in units of the cell vectors:
Tb: 0.000 0.500 0.000
Tb: 0.500 0.000 0.000
Nd: 0.000 0.000 0.500
Hg: 0.500 0.500 0.500
N: 0.000 0.000 0.000

Results
Symmetry   P4/mmm
ΔE_f (raw)   -0.848 eV/atom


Record 12
This record from Alexandria describes Sm3MgSb4 after structural relaxation. The functional is GGA-PBE.

abc: 6.287 6.287 6.287
angles: 90.00 90.00 90.00
Sites, in units of the cell vectors:
Sm: 0.000 0.000 0.500
Sm: 0.000 0.500 0.000
Sm: 0.500 0.000 0.000
Mg: 0.500 0.500 0.500
Sb: 0.000 0.000 0.000
Sb: 0.000 0.500 0.500
Sb: 0.500 0.000 0.500
Sb: 0.500 0.500 0.000

Results
Symmetry   Pm-3m
ΔE_f (raw)   -0.852 eV/atom


Record 13
This record from Alexandria describes BaSiSb2 after structural relaxation. The functional is GGA-PBE.

abc: 6.277 6.277 6.277
angles: 144.90 121.85 69.76
Sites, in units of the cell vectors:
Ba: 0.000 0.000 0.000
Si: 0.500 0.500 0.000
Sb: 0.308 0.808 0.500
Sb: 0.692 0.192 0.500

Results
Symmetry   Immm
ΔE_f (raw)   -0.185 eV/atom


Record 14
This record from Alexandria describes K2RbTl2Se4 after structural relaxation. The functional is GGA-PBE.

abc: 9.137 9.137 7.598
angles: 107.00 107.00 31.70
Sites, in units of the cell vectors:
K: 0.135 0.135 0.056
K: 0.865 0.865 0.944
Rb: 0.000 0.000 0.500
Tl: 0.335 0.335 0.509
Tl: 0.665 0.665 0.491
Se: 0.213 0.213 0.699
Se: 0.475 0.475 0.821
Se: 0.525 0.525 0.179
Se: 0.787 0.787 0.301

Results
Symmetry   C2/m
ΔE_f (raw)   -0.740 eV/atom


Record 15
This record from Alexandria describes CoCuHgOsRu after structural relaxation. The functional is GGA-PBE.

abc: 4.629 4.629 6.704
angles: 117.50 117.50 35.09
Sites, in units of the cell vectors:
Co: 0.000 0.000 0.000
Cu: 0.786 0.786 0.169
Hg: 0.192 0.192 0.785
Os: 0.583 0.583 0.349
Ru: 0.370 0.370 0.532

Results
ΔE to the lowest computed polymorph   0.1377 eV per atom
Symmetry   Cm
Energy of formation from the pure elements   415 meV/atom


Record 16
This record from Alexandria describes RbGaF3 after structural relaxation. The functional is GGA-PBE.

abc: 8.370 8.370 5.559
angles: 90.00 90.00 138.20
Sites, in units of the cell vectors:
Rb: 0.170 0.830 0.750
Rb: 0.830 0.170 0.250
Ga: 0.407 0.593 0.750
Ga: 0.593 0.407 0.250
F: 0.083 0.429 0.750
F: 0.429 0.083 0.250
F: 0.500 0.500 0.000
F: 0.500 0.500 0.500
F: 0.571 0.917 0.750
F: 0.917 0.571 0.250

Results
Symmetry   Cmcm
ΔE_f (raw)   -2.303 eV/atom


Record 17
This record from Alexandria describes Sm2HoPa after structural relaxation. The functional is GGA-PBE.

abc: 4.974 4.974 4.920
angles: 90.00 90.00 90.00
Sites, in units of the cell vectors:
Sm: 0.000 0.500 0.000
Sm: 0.500 0.000 0.000
Ho: 0.000 0.000 0.500
Pa: 0.500 0.500 0.500

Results
ΔE to the lowest computed polymorph   0.0861 eV per atom
Symmetry   P4/mmm
Energy of formation from the pure elements   242 meV/atom


Record 18
This record from Alexandria describes Cs3In2As3 after structural relaxation. The functional is GGA-PBE.

abc: 8.221 8.221 15.961
angles: 90.00 90.00 147.10
Sites, in units of the cell vectors:
Cs: 0.065 0.935 0.613
Cs: 0.065 0.935 0.887
Cs: 0.366 0.634 0.750
Cs: 0.634 0.366 0.250
Cs: 0.935 0.065 0.113
Cs: 0.935 0.065 0.387
In: 0.238 0.762 0.092
In: 0.238 0.762 0.408
In: 0.762 0.238 0.592
In: 0.762 0.238 0.908
As: 0.311 0.689 0.250
As: 0.350 0.650 0.540
As: 0.350 0.650 0.960
As: 0.650 0.350 0.040
As: 0.650 0.350 0.460
As: 0.689 0.311 0.750

Results
Symmetry   Cmcm
Energy of formation from the pure elements   -397 meV/atom


Record 19
This record from Alexandria describes Tb3Ge2Pd5 after structural relaxation. The functional is GGA-PBE.

abc: 8.866 8.866 8.866
angles: 98.67 93.77 141.58
Sites, in units of the cell vectors:
Tb: 0.206 0.611 0.816
Tb: 0.250 0.250 0.000
Tb: 0.294 0.111 0.405
Tb: 0.706 0.889 0.595
Tb: 0.750 0.750 0.000
Tb: 0.794 0.389 0.184
Ge: 0.155 0.863 0.017
Ge: 0.345 0.363 0.708
Ge: 0.655 0.637 0.292
Ge: 0.845 0.137 0.983
Pd: 0.148 0.363 0.511
Pd: 0.250 0.009 0.759
Pd: 0.250 0.491 0.241
Pd: 0.250 0.750 0.500
Pd: 0.352 0.863 0.215
Pd: 0.648 0.137 0.785
Pd: 0.750 0.250 0.500
Pd: 0.750 0.509 0.759
Pd: 0.750 0.991 0.241
Pd: 0.852 0.637 0.489

Results
Symmetry   Ibam
Energy of formation from the pure elements   -624 meV/atom


Record 20
This record from Alexandria describes Ac6Hg3GeIr2 after structural relaxation. The functional is GGA-PBE.

abc: 7.680 7.680 8.453
angles: 98.50 98.50 119.44
Sites, in units of the cell vectors:
Ac: 0.079 0.430 0.792
Ac: 0.215 0.215 0.201
Ac: 0.430 0.079 0.792
Ac: 0.570 0.921 0.208
Ac: 0.785 0.785 0.799
Ac: 0.921 0.570 0.208
Hg: 0.000 0.000 0.500
Hg: 0.347 0.653 0.500
Hg: 0.653 0.347 0.500
Ge: 0.500 0.500 0.000
Ir: 0.168 0.832 0.000
Ir: 0.832 0.168 0.000

Results
Symmetry   C2/m
Energy of formation from the pure elements   -558 meV/atom


no.,spin magnetization (μB per atom)
1,0.20
2,0.00
3,0.00
4,0.00
5,0.33
6,0.00
7,0.00
8,0.00
9,0.54
10,0.19
11,0.00
12,0.00
13,0.00
14,0.00
15,0.19
16,0.00
17,0.00
18,0.00
19,0.00
20,0.00